[1]
Here is crystalline YScVRh2 at its relaxed geometry from Alexandria. Energies are from PBE.

Lattice parameters (Å, degrees): 4.874 4.798 4.874 90.00 90.00 90.00
Each line ends with the local moment (μB).
Fractional positions:
Sc: 0.500 0.500 0.500  0.04
Rh: 0.000 0.000 0.500  0.11
Rh: 0.500 0.000 0.000  0.07
V: 0.000 0.500 0.000  2.08
Y: 0.000 0.000 0.000  0.06

Space group   P4/mmm (123)
Calculated formation energy   0.973 eV/atom


[2]
Here is crystalline Co2PPt2 at its relaxed geometry from Alexandria. Energies are from PBE.

Lattice parameters (Å, degrees): 5.607 5.607 4.249 90.00 90.00 90.00
Each line ends with the local moment (μB).
Fractional positions:
P: 0.500 0.500 0.000  -0.04
P: 0.000 0.000 0.000  -0.04
Pt: 0.674 0.826 0.500  0.12
Pt: 0.826 0.326 0.500  0.12
Pt: 0.326 0.174 0.500  0.12
Pt: 0.174 0.674 0.500  0.12
Co: 0.854 0.646 0.000  0.77
Co: 0.146 0.354 0.000  0.77
Co: 0.354 0.854 0.000  0.77
Co: 0.646 0.146 0.000  0.77

Space group   P4/mbm (127)
Calculated formation energy   -0.035 eV/atom


[3]
Here is crystalline CaHg4Cl at its relaxed geometry from Alexandria. Energies are from PBE.

Lattice parameters (Å, degrees): 6.175 6.175 6.175 60.00 60.00 60.00
Fractional positions:
Cl: 0.000 0.000 0.000
Hg: 0.876 0.375 0.375
Hg: 0.375 0.876 0.375
Hg: 0.375 0.375 0.375
Hg: 0.375 0.375 0.876
Ca: 0.750 0.750 0.750

Space group   F-43m (216)
Formation energy without anion corrections   -0.369 eV per atom


[4]
Here is crystalline KH2AuCl8 at its relaxed geometry from Alexandria. Energies are from PBE.

Lattice parameters (Å, degrees): 5.677 8.590 8.455 102.14 88.10 104.83
Fractional positions:
Cl: 0.210 0.889 0.159
Cl: 0.017 0.789 0.781
Cl: 0.459 0.714 0.450
Cl: 0.541 0.286 0.550
Cl: 0.369 0.433 0.063
Cl: 0.631 0.567 0.937
Cl: 0.983 0.211 0.219
Cl: 0.790 0.111 0.841
H: 0.569 0.382 0.694
H: 0.431 0.618 0.306
Au: 0.000 0.000 0.000
K: 0.000 0.000 0.500

Space group   P-1 (2)
Total energy   -2.77 eV/atom


Here are the calculated N(E_F) numbers, same order: 0.950 1.102 0.302 0.000 (states/eV per atom).
Here are the calculated total moment numbers, same order: 2.6 1.7 0.0 0.0 (μB per formula unit).